Density functional theory data (GGA-PBE) for a relaxed structure of La2MgPt.

Cell lengths 4.2319, 5.5096, 9.5948 Å; angles 90.00, 90.00, 90.00 degrees
With the nearest neighbours (Å) after each atom.
Space group Immm (No. 71)
Asymmetric unit:
1 La 0.0000 0.0000 0.2068  2 Pt 2.90
2 Mg 0.0000 0.5000 0.0000  8 La 3.40-3.52, 4 Pt 3.47
3 Pt 0.0000 0.5000 0.5000  4 La 2.90

Values from the calculation:
For the formation energy, the calculation gives -0.502 eV/atom. The value obtained for the total energy is -4.87 eV per atom.